! OsRh2W PBEsol optimized geometry; values from VASP
! Fermi-level density of states ... 4.76 states/eV per cell
! Energy relative to the lowest polymorph listed for this composition ... 459 meV per atom
! Calculated total energy ... -41.119 eV for the cell shown
! ΔE_f ... 0.2954 eV per atom
&SYSTEM
  ibrav = 0, nat = 4, ntyp = 3
/
ATOMIC_SPECIES
Os 190.23 Os.upf
Rh 102.91 Rh.upf
W 183.84 W.upf
CELL_PARAMETERS angstrom
3.277 0.000 0.000
0.000 3.277 0.000
0.000 0.000 5.372
ATOMIC_POSITIONS crystal
Os 0.000 0.000 0.000
Rh 0.500 0.500 0.250
Rh 0.500 0.500 0.750
W 0.000 0.000 0.500